1.
DFT (GGA-PBE) results for a relaxed CdGa4H2 crystal.

Summary:
total DFT energy (no corrections): -2.634 eV/atom
volume: 112.2 Å³/cell
density: 5.82 Mg/m³

a = 4.192 Å, b = 3.126 Å, c = 8.739 Å
α = 90.00°, β = 101.52°, γ = 90.00°
Space group P2/m (No. 10)
One atom of each set of equivalent atoms:
Cd: 0.000 0.000 0.000
Ga: 0.315 0.000 0.361
Ga: 0.340 0.500 0.810
H: 0.061 0.500 0.359

---

2.
DFT (GGA-PBE) results for a relaxed CdGaH crystal.

Summary:
total DFT energy (no corrections): -2.218 eV/atom
volume: 100.2 Å³/cell
density: 6.07 Mg/m³
polymorph energy (0 for the lowest one): 82.0 meV/atom

a = 3.050 Å, b = 3.106 Å, c = 10.888 Å
α = 97.08°, β = 96.39°, γ = 99.13°
Space group P1 (No. 1)
One atom of each set of equivalent atoms:
Cd: 0.000 0.000 0.000
Cd: 0.119 0.618 0.230
Ga: 0.281 0.334 0.632
Ga: 0.727 0.734 0.453
H: 0.449 0.946 0.895
H: 0.825 0.377 0.723

---

3.
DFT (GGA-PBE) results for a relaxed CdGaH crystal.

Summary:
total DFT energy (no corrections): -2.300 eV/atom
volume: 98.5 Å³/cell
density: 6.17 Mg/m³
polymorph energy (0 for the lowest one): 0.0 meV/atom

a = 2.809 Å, b = 4.474 Å, c = 8.253 Å
α = 74.50°, β = 80.68°, γ = 89.88°
Space group P-1 (No. 2)
One atom of each set of equivalent atoms:
Cd: 0.189 0.191 0.121
Ga: 0.409 0.408 0.682
H: 0.002 0.087 0.499

---

4.
DFT (GGA-PBE) results for a relaxed CdGaH3 crystal.

Summary:
total DFT energy (no corrections): -2.386 eV/atom
volume: 56.1 Å³/cell
density: 5.48 Mg/m³
polymorph energy (0 for the lowest one): 0.0 meV/atom

a = 3.828 Å, b = 3.828 Å, c = 3.828 Å
α = 90.00°, β = 90.00°, γ = 90.00°
Space group Pm-3m (No. 221)
One atom of each set of equivalent atoms:
Cd: 0.000 0.000 0.000
Ga: 0.500 0.500 0.500
H: 0.000 0.500 0.500

---

5.
DFT (GGA-PBE) results for a relaxed CdGaH crystal.

Summary:
total DFT energy (no corrections): -2.171 eV/atom
volume: 52.2 Å³/cell
density: 5.82 Mg/m³
polymorph energy (0 for the lowest one): 129.2 meV/atom

a = 2.9932 Å, b = 2.9932 Å, c = 6.7296 Å
α = 90.00°, β = 90.00°, γ = 120.00°
Space group P3m1 (No. 156)
One atom of each set of equivalent atoms:
Cd: 0.0000 0.0000 0.0000
Ga: 0.6667 0.3333 0.4042
H: 0.3333 0.6667 0.5428

---

6.
DFT (GGA-PBE) results for a relaxed Cd2Ga2H crystal.

Summary:
total DFT energy (no corrections): -1.845 eV/atom
volume: 205.1 Å³/cell
density: 5.91 Mg/m³
polymorph energy (0 for the lowest one): 203.9 meV/atom

a = 7.572 Å, b = 7.572 Å, c = 3.578 Å
α = 90.00°, β = 90.00°, γ = 90.00°
Space group P4/mbm (No. 127)
One atom of each set of equivalent atoms:
Cd: 0.190 0.310 0.000
Ga: 0.117 0.617 0.500
H: 0.000 0.000 0.000

---

7.
DFT (GGA-PBE) results for a relaxed CdGaHg2H crystal.

Summary:
total DFT energy (no corrections): -1.427 eV/atom
volume: 107.7 Å³/cell
density: 9.01 Mg/m³

a = 5.549 Å, b = 5.549 Å, c = 3.496 Å
α = 90.00°, β = 90.00°, γ = 90.00°
Space group P4/mmm (No. 123)
One atom of each set of equivalent atoms:
Cd: 0.000 0.000 0.000
Ga: 0.500 0.500 0.500
Hg: 0.000 0.500 0.500
H: 0.500 0.500 0.000

---

8.
DFT (GGA-PBE) results for a relaxed Cd2InGaH crystal.

Summary:
total DFT energy (no corrections): -1.996 eV/atom
volume: 105.1 Å³/cell
density: 6.49 Mg/m³

a = 5.548 Å, b = 5.548 Å, c = 3.413 Å
α = 90.00°, β = 90.00°, γ = 90.00°
Space group P4/mmm (No. 123)
One atom of each set of equivalent atoms:
Cd: 0.000 0.500 0.000
In: 0.000 0.000 0.500
Ga: 0.500 0.500 0.000
H: 0.500 0.500 0.500

---

9.
DFT (GGA-PBE) results for a relaxed LaCd2GaH crystal.

Summary:
total DFT energy (no corrections): -2.859 eV/atom
volume: 103.1 Å³/cell
density: 7.00 Mg/m³

a = 4.695 Å, b = 4.695 Å, c = 4.677 Å
α = 90.00°, β = 90.00°, γ = 90.00°
Space group P4/mmm (No. 123)
One atom of each set of equivalent atoms:
La: 0.000 0.000 0.000
Cd: 0.000 0.500 0.500
Ga: 0.500 0.500 0.000
H: 0.000 0.000 0.500

---

10.
DFT (GGA-PBE) results for a relaxed LiCd2GaH crystal.

Summary:
total DFT energy (no corrections): -1.398 eV/atom
volume: 114.9 Å³/cell
density: 4.37 Mg/m³
polymorph energy (0 for the lowest one): 612.9 meV/atom

a = 4.926 Å, b = 4.926 Å, c = 4.736 Å
α = 90.00°, β = 90.00°, γ = 90.00°
Space group P4/mmm (No. 123)
One atom of each set of equivalent atoms:
Li: 0.000 0.000 0.000
Cd: 0.000 0.500 0.000
Ga: 0.000 0.000 0.500
H: 0.500 0.500 0.500

---

11.
DFT (GGA-PBE) results for a relaxed LiCd2GaH crystal.

Summary:
total DFT energy (no corrections): -2.010 eV/atom
volume: 82.8 Å³/cell
density: 6.07 Mg/m³
polymorph energy (0 for the lowest one): 0.0 meV/atom

a = 4.860 Å, b = 4.860 Å, c = 3.504 Å
α = 90.00°, β = 90.00°, γ = 90.00°
Space group P4/mmm (No. 123)
One atom of each set of equivalent atoms:
Li: 0.000 0.000 0.000
Cd: 0.000 0.500 0.500
Ga: 0.500 0.500 0.000
H: 0.000 0.000 0.500

---

12.
DFT (GGA-PBE) results for a relaxed Mg2CdGaH crystal.

Summary:
total DFT energy (no corrections): -2.049 eV/atom
volume: 84.3 Å³/cell
density: 4.57 Mg/m³
polymorph energy (0 for the lowest one): 22.8 meV/atom

a = 4.362 Å, b = 4.362 Å, c = 4.429 Å
α = 90.00°, β = 90.00°, γ = 90.00°
Space group P4/mmm (No. 123)
One atom of each set of equivalent atoms:
Mg: 0.000 0.500 0.000
Cd: 0.000 0.000 0.500
Ga: 0.500 0.500 0.500
H: 0.000 0.000 0.000

---

13.
DFT (GGA-PBE) results for a relaxed Mg2CdGaH crystal.

Summary:
total DFT energy (no corrections): -2.072 eV/atom
volume: 84.1 Å³/cell
density: 4.58 Mg/m³
polymorph energy (0 for the lowest one): 0.0 meV/atom

a = 4.386 Å, b = 4.386 Å, c = 4.373 Å
α = 90.00°, β = 90.00°, γ = 90.00°
Space group P4/mmm (No. 123)
One atom of each set of equivalent atoms:
Mg: 0.000 0.500 0.000
Cd: 0.000 0.000 0.500
Ga: 0.500 0.500 0.500
H: 0.500 0.500 0.000

---

14.
DFT (GGA-PBE) results for a relaxed NaCdGa2H crystal.

Summary:
total DFT energy (no corrections): -1.793 eV/atom
volume: 112.7 Å³/cell
density: 4.06 Mg/m³

a = 5.568 Å, b = 5.568 Å, c = 3.636 Å
α = 90.00°, β = 90.00°, γ = 90.00°
Space group P4/mmm (No. 123)
One atom of each set of equivalent atoms:
Na: 0.000 0.000 0.000
Cd: 0.500 0.500 0.500
Ga: 0.000 0.500 0.000
H: 0.000 0.000 0.500